Record 1
Here is crystalline Ir2AuF at its relaxed geometry from Alexandria via LeMat-Bulk. Energies are from PBE-GGA.

SG: I-42d (122)
E (eV per formula unit): -20.43
Offset from the most stable computed form (eV per atom): 0.0000
Calculated volume (Å³/cell): 127.9

Unit cell a=3.616 b=3.616 c=10.108 alpha=79.69 beta=79.69 gamma=90.00
Element x y z (fractional)
Ir1 0.623 0.125 0.250
Ir2 0.127 0.625 0.250
Ir3 0.375 0.377 0.750
Ir4 0.875 0.873 0.750
Au1 0.000 0.000 0.000
Au2 0.750 0.250 0.500
F1 0.500 0.500 0.000
F2 0.250 0.750 0.500

Record 2
Here is crystalline IrAuF6 at its relaxed geometry from Alexandria via LeMat-Bulk. Energies are from PBE-GGA.

SG: C2/m (12)
E (eV per formula unit): -32.96
Calculated volume (Å³/cell): 126.2

Unit cell a=5.081 b=5.081 c=5.470 alpha=93.42 beta=93.42 gamma=115.90
Element x y z (fractional)
Ir1 0.500 0.500 0.500
Au1 0.000 0.000 0.000
F1 0.512 0.810 0.730
F2 0.810 0.512 0.730
F3 0.190 0.488 0.270
F4 0.488 0.190 0.270
F5 0.203 0.203 0.671
F6 0.797 0.797 0.329

Record 3
Here is crystalline IrAuF3 at its relaxed geometry from Alexandria via LeMat-Bulk. Energies are from PBE-GGA.

SG: Pm-3m (221)
E (eV per formula unit): -15.83
Offset from the most stable computed form (eV per atom): 0.6971
Calculated volume (Å³/cell): 85.2

Unit cell a=4.400 b=4.400 c=4.400 alpha=90.00 beta=90.00 gamma=90.00
Element x y z (fractional)
Ir1 0.500 0.500 0.500
Au1 0.000 0.000 0.000
F1 0.000 0.500 0.000
F2 0.000 0.000 0.500
F3 0.500 0.000 0.000